1.
Density functional theory data (GGA-PBE) for a relaxed structure of VB2Pd8.

## Properties
DOS at the Fermi energy = 7.842 states/eV/f.u.
final energy = -5.90 eV per atom

a = 12.251 Å, b = 5.315 Å, c = 4.920 Å
α = 90.00°, β = 99.88°, γ = 90.00°
Space group C2/m (No. 12)
Unique sites:
V1 0.000 0.000 0.000 [2 per cell]
B1 0.226 0.500 0.696 [4 per cell]
Pd1 0.071 0.500 0.817 [4 per cell]
Pd2 0.139 0.250 0.360 [8 per cell]
Pd3 0.195 0.000 0.889 [4 per cell]


2.
Density functional theory data (GGA-PBE) for a relaxed structure of VB2Pd.

## Properties
DOS at the Fermi energy = 2.643 states/eV/f.u.
final energy = -6.22 eV per atom

a = 4.274 Å, b = 4.274 Å, c = 11.448 Å
α = 90.00°, β = 90.00°, γ = 90.00°
Space group I-42d (No. 122)
Unique sites:
V1 0.000 0.000 0.000 [4 per cell]
B1 0.235 0.250 0.625 [8 per cell]
Pd1 0.000 0.000 0.500 [4 per cell]


3.
Density functional theory data (GGA-PBE) for a relaxed structure of VBPd2.

## Properties
DOS at the Fermi energy = 3.373 states/eV/f.u.
final energy = -6.41 eV per atom

a = 6.894 Å, b = 6.894 Å, c = 4.612 Å
α = 90.00°, β = 90.00°, γ = 90.00°
Space group I-42d (No. 122)
Unique sites:
V1 0.000 0.000 0.000 [4 per cell]
B1 0.000 0.000 0.500 [4 per cell]
Pd1 0.147 0.250 0.625 [8 per cell]


4.
Density functional theory data (GGA-PBE) for a relaxed structure of VBPd3.

## Properties
DOS at the Fermi energy = 5.047 states/eV/f.u.
final energy = -6.26 eV per atom

a = 4.170 Å, b = 4.170 Å, c = 4.170 Å
α = 90.00°, β = 90.00°, γ = 90.00°
Space group Pm-3m (No. 221)
Unique sites:
V1 0.000 0.000 0.000 [1 per cell]
B1 0.500 0.500 0.500 [1 per cell]
Pd1 0.000 0.500 0.500 [3 per cell]


5.
Density functional theory data (GGA-PBE) for a relaxed structure of V3BPd.

## Properties
DOS at the Fermi energy = 4.667 states/eV/f.u.
final energy = -7.89 eV per atom

a = 4.036 Å, b = 4.036 Å, c = 4.036 Å
α = 90.00°, β = 90.00°, γ = 90.00°
Space group Pm-3m (No. 221)
Unique sites:
V1 0.000 0.000 0.500 [3 per cell]
B1 0.000 0.000 0.000 [1 per cell]
Pd1 0.500 0.500 0.500 [1 per cell]


6.
Density functional theory data (GGA-PBE) for a relaxed structure of V2BPd.

## Properties
DOS at the Fermi energy = 3.945 states/eV/f.u.
final energy = -7.36 eV per atom

a = 6.773 Å, b = 6.773 Å, c = 4.506 Å
α = 90.00°, β = 90.00°, γ = 90.00°
Space group I-42d (No. 122)
Unique sites:
V1 0.162 0.250 0.125 [8 per cell]
B1 0.000 0.000 0.000 [4 per cell]
Pd1 0.000 0.000 0.500 [4 per cell]


7.
Density functional theory data (GGA-PBE) for a relaxed structure of V2B2Pd.

## Properties
DOS at the Fermi energy = 4.954 states/eV/f.u.
final energy = -7.82 eV per atom

a = 5.744 Å, b = 5.744 Å, c = 3.157 Å
α = 90.00°, β = 90.00°, γ = 90.00°
Space group P4/mbm (No. 127)
Unique sites:
V1 0.171 0.329 0.000 [4 per cell]
B1 0.108 0.608 0.500 [4 per cell]
Pd1 0.000 0.000 0.500 [2 per cell]


8.
Density functional theory data (GGA-PBE) for a relaxed structure of V3BPd.

## Properties
DOS at the Fermi energy = 7.450 states/eV/f.u.
final energy = -5.83 eV per atom

a = 4.528 Å, b = 4.528 Å, c = 4.528 Å
α = 90.00°, β = 90.00°, γ = 90.00°
Space group Pm-3m (No. 221)
Unique sites:
V1 0.000 0.000 0.500 [3 per cell]
B1 0.500 0.500 0.500 [1 per cell]
Pd1 0.000 0.000 0.000 [1 per cell]


9.
Density functional theory data (GGA-PBE) for a relaxed structure of BPdW2.

## Properties
DOS at the Fermi energy = 4.489 states/eV/f.u.
final energy = -8.37 eV per atom

a = 4.532 Å, b = 4.532 Å, c = 13.502 Å
α = 90.00°, β = 90.00°, γ = 90.00°
Space group I-42d (No. 122)
Unique sites:
B1 0.000 0.000 0.000 [4 per cell]
Pd1 0.000 0.000 0.500 [4 per cell]
W1 0.152 0.250 0.125 [8 per cell]


10.
Density functional theory data (GGA-PBE) for a relaxed structure of BPdW2.

## Properties
DOS at the Fermi energy = 1.842 states/eV/f.u.
final energy = -9.10 eV per atom

a = 3.0207 Å, b = 3.0207 Å, c = 23.0276 Å
α = 90.00°, β = 90.00°, γ = 120.00°
Space group R-3m (No. 166, hexagonal axes)
Unique sites:
B1 0.0000 0.0000 0.0000 [3 per cell]
Pd1 0.0000 0.0000 0.5000 [3 per cell]
W1 0.0000 0.0000 0.3863 [6 per cell]


11.
Density functional theory data (GGA-PBE) for a relaxed structure of B3PdW.

## Properties
DOS at the Fermi energy = 3.857 states/eV/f.u.
final energy = -6.23 eV per atom

a = 4.151 Å, b = 4.151 Å, c = 4.151 Å
α = 90.00°, β = 90.00°, γ = 90.00°
Space group Pm-3m (No. 221)
Unique sites:
B1 0.000 0.000 0.500 [3 per cell]
Pd1 0.500 0.500 0.500 [1 per cell]
W1 0.000 0.000 0.000 [1 per cell]


12.
Density functional theory data (GGA-PBE) for a relaxed structure of B2PdW2.

## Properties
DOS at the Fermi energy = 1.395 states/eV/f.u.
final energy = -9.05 eV per atom

a = 5.916 Å, b = 5.916 Å, c = 3.277 Å
α = 90.00°, β = 90.00°, γ = 90.00°
Space group P4/mbm (No. 127)
Unique sites:
B1 0.107 0.393 0.000 [4 per cell]
Pd1 0.000 0.000 0.000 [2 per cell]
W1 0.173 0.673 0.500 [4 per cell]